1.
PBE Tb2EuY, relaxed; space group = P4/mmm, No. 123; offset from the most stable computed form = 0.384 eV per formula unit; crystal system = tetragonal; mass density = 6.870 Mg/m³; spin magnetization = 7.8 μB per formula unit
1.0
5.972 0.000 0.000
0.000 5.972 0.000
0.000 0.000 3.787
Tb Eu Y
2 1 1
direct
0.000 0.500 0.000
0.500 0.000 0.000
0.000 0.000 0.500
0.500 0.500 0.500

=====

2.
PBE Hf2ZnSn2, relaxed; space group = P4/mbm, No. 127; offset from the most stable computed form = 0.403 eV per formula unit; crystal system = tetragonal; mass density = 10.071 Mg/m³; spin magnetization = 0.0 μB per formula unit
1.0
7.293 0.000 0.000
0.000 7.293 0.000
0.000 0.000 4.091
Hf Zn Sn
4 2 4
direct
0.157 0.343 0.000
0.343 0.843 0.000
0.657 0.157 0.000
0.843 0.657 0.000
0.000 0.000 0.500
0.500 0.500 0.500
0.146 0.646 0.500
0.354 0.146 0.500
0.646 0.854 0.500
0.854 0.354 0.500

=====

3.
PBE KYSc4, relaxed; E = -30.06 eV/f.u.; space group = F-43m, No. 216; crystal system = cubic; mass density = 2.722 Mg/m³; spin magnetization = 0.1 μB per formula unit
1.0
0.000 4.545 4.545
4.545 0.000 4.545
4.545 4.545 0.000
K Y Sc
1 1 4
direct
0.000 0.000 0.000
0.250 0.250 0.250
0.141 0.620 0.620
0.620 0.141 0.620
0.620 0.620 0.141
0.620 0.620 0.620

=====

4.
PBE CsTl4Cd3F12, relaxed; formation energy from raw total energies = -1.9118 eV per atom; space group = Im-3m, No. 229; crystal system = cubic; mass density = 6.116 Mg/m³; spin magnetization = 0.0 μB per formula unit
1.0
-4.686 4.686 4.686
4.686 -4.686 4.686
4.686 4.686 -4.686
Cs Tl Cd F
1 4 3 12
direct
0.000 0.000 0.000
0.000 0.000 0.500
0.000 0.500 0.000
0.500 0.000 0.000
0.500 0.500 0.500
0.000 0.500 0.500
0.500 0.000 0.500
0.500 0.500 0.000
0.000 0.278 0.278
0.000 0.722 0.722
0.250 0.500 0.750
0.250 0.750 0.500
0.278 0.000 0.278
0.278 0.278 0.000
0.500 0.250 0.750
0.500 0.750 0.250
0.722 0.000 0.722
0.722 0.722 0.000
0.750 0.250 0.500
0.750 0.500 0.250

=====

5.
PBE KHgBr2, relaxed; formation energy from raw total energies = -0.8131 eV per atom; space group = Fm-3m, No. 225; offset from the most stable computed form = 0.611 eV per formula unit; crystal system = cubic; mass density = 5.440 Mg/m³; spin magnetization = 0.0 μB per formula unit
1.0
7.872 0.000 0.000
0.000 7.872 0.000
0.000 0.000 7.872
K Hg Br
4 4 8
direct
0.000 0.000 0.000
0.000 0.500 0.500
0.500 0.000 0.500
0.500 0.500 0.000
0.000 0.000 0.500
0.000 0.500 0.000
0.500 0.000 0.000
0.500 0.500 0.500
0.250 0.250 0.250
0.250 0.250 0.750
0.250 0.750 0.250
0.250 0.750 0.750
0.750 0.250 0.250
0.750 0.250 0.750
0.750 0.750 0.250
0.750 0.750 0.750

=====

6.
PBE SnSe3Cl, relaxed; formation energy from raw total energies = 0.5270 eV per atom; space group = Pm-3m, No. 221; offset from the most stable computed form = 0.040 eV per formula unit; crystal system = cubic; mass density = 4.320 Mg/m³; spin magnetization = 1.6 μB per formula unit
1.0
5.317 0.000 0.000
0.000 5.317 0.000
0.000 0.000 5.317
Sn Se Cl
1 3 1
direct
0.000 0.000 0.000
0.000 0.000 0.500
0.000 0.500 0.000
0.500 0.000 0.000
0.500 0.500 0.500

=====

Repeat the fifth record exactly.
PBE KHgBr2, relaxed; formation energy from raw total energies = -0.8131 eV per atom; space group = Fm-3m, No. 225; offset from the most stable computed form = 0.611 eV per formula unit; crystal system = cubic; mass density = 5.440 Mg/m³; spin magnetization = 0.0 μB per formula unit
1.0
7.872 0.000 0.000
0.000 7.872 0.000
0.000 0.000 7.872
K Hg Br
4 4 8
direct
0.000 0.000 0.000
0.000 0.500 0.500
0.500 0.000 0.500
0.500 0.500 0.000
0.000 0.000 0.500
0.000 0.500 0.000
0.500 0.000 0.000
0.500 0.500 0.500
0.250 0.250 0.250
0.250 0.250 0.750
0.250 0.750 0.250
0.250 0.750 0.750
0.750 0.250 0.250
0.750 0.250 0.750
0.750 0.750 0.250
0.750 0.750 0.750